[1]
A geometry-optimized Th3GaBi2 structure. Source: the Alexandria database, functional PBE.

Cell lengths 4.4826, 6.3830, 13.6501 Å; angles 90.00, 90.00, 90.00 degrees
Closest atoms and distances in Å follow each position.
Space group Immm (No. 71)
Symmetry-distinct sites (fractional):
Th  0.0000  0.0000  0.0000 (multiplicity 2)  2 Ga 3.19, 4 Bi 3.26
Th  0.0000  0.0000  0.3508 (multiplicity 4)  2 Ga 3.03, 4 Bi 3.21-3.29
Ga  0.0000  0.5000  0.0000 (multiplicity 2)  6 Th 3.03-3.19
Bi  0.0000  0.5000  0.3261 (multiplicity 4)  6 Th 3.21-3.29

Values from the calculation:
total moment	0.0	μB/cell

---

[2]
A geometry-optimized Th4GaBi2 structure. Source: the Alexandria database, functional PBE.

Cell lengths 15.9484, 4.3274, 7.5537 Å; angles 90.00, 116.78, 90.00 degrees
Closest atoms and distances in Å follow each position.
Space group C2/m (No. 12)
Symmetry-distinct sites (fractional):
Th  0.1033  0.0000  0.3012 (multiplicity 4)  2 Ga 3.03, 3 Bi 3.28-3.29
Th  0.1043  0.5000  0.7524 (multiplicity 4)  1 Ga 3.01, 3 Bi 3.26-3.27
Ga  0.0000  0.5000  0.0000 (multiplicity 2)  6 Th 3.01-3.03
Bi  0.2395  0.5000  0.2303 (multiplicity 4)  6 Th 3.26-3.29, 1 Ga 3.41

Values from the calculation:
total moment	0.0	μB/cell

---

[3]
A geometry-optimized ThGa2Bi structure. Source: the Alexandria database, functional PBE.

Cell lengths 7.4016, 7.4016, 7.4016 Å; angles 90.00, 90.00, 90.00 degrees
Closest atoms and distances in Å follow each position.
Space group Fm-3m (No. 225)
Symmetry-distinct sites (fractional):
Th  0.0000  0.0000  0.0000 (multiplicity 4)  8 Ga 3.20
Ga  0.2500  0.2500  0.2500 (multiplicity 8)  4 Bi 3.20, 4 Th 3.20
Bi  0.0000  0.0000  0.5000 (multiplicity 4)  8 Ga 3.20

Values from the calculation:
offset from the most stable computed form	279	meV per atom
total moment	0.0	μB/cell

---

[4]
A geometry-optimized ThGa2Bi structure. Source: the Alexandria database, functional PBE.

Cell lengths 4.7179, 4.7179, 4.4211 Å; angles 90.00, 90.00, 90.00 degrees
Closest atoms and distances in Å follow each position.
Space group P4/mmm (No. 123)
Symmetry-distinct sites (fractional):
Th  0.0000  0.0000  0.0000 (multiplicity 1)  8 Ga 3.23, 4 Bi 3.34
Ga  0.0000  0.5000  0.5000 (multiplicity 2)  4 Th 3.23, 4 Bi 3.23, 4 Ga 3.34
Bi  0.5000  0.5000  0.0000 (multiplicity 1)  8 Ga 3.23, 4 Th 3.34

Values from the calculation:
offset from the most stable computed form	0	meV per atom
total moment	0.0	μB/cell

---

[5]
A geometry-optimized Th5GaBi4 structure. Source: the Alexandria database, functional PBE.

Cell lengths 10.1808, 10.1808, 6.4233 Å; angles 90.00, 90.00, 90.00 degrees
Closest atoms and distances in Å follow each position.
Space group I4/m (No. 87)
Symmetry-distinct sites (fractional):
Th  0.0000  0.0000  0.0000 (multiplicity 2)  2 Ga 3.21, 4 Bi 3.25
Th  0.0974  0.2793  0.5000 (multiplicity 8)  1 Ga 3.01, 5 Bi 3.22-3.33
Ga  0.0000  0.0000  0.5000 (multiplicity 2)  6 Th 3.01-3.21
Bi  0.0915  0.3058  0.0000 (multiplicity 8)  6 Th 3.22-3.33

Values from the calculation:
total moment	0.0	μB/cell

---

[6]
A geometry-optimized Th5Ga2Bi2 structure. Source: the Alexandria database, functional PBE.

Cell lengths 15.8771, 8.2496, 8.2515 Å; angles 90.00, 90.00, 90.00 degrees
Closest atoms and distances in Å follow each position.
Space group Cmce (No. 64)
Symmetry-distinct sites (fractional):
Th  0.0000  0.0000  0.0000 (multiplicity 4)  4 Ga 3.30, 2 Bi 3.35, 8 Th 3.63-3.64
Th  0.1254  0.1762  0.3229 (multiplicity 16)  3 Ga 3.11-3.19, 3 Bi 3.31-3.34
Ga  0.0000  0.1178  0.6184 (multiplicity 8)  1 Ga 2.76
Bi  0.2112  0.0000  0.0000 (multiplicity 8)  7 Th 3.31-3.35

Values from the calculation:
total moment	0.0	μB/cell

---

[7]
A geometry-optimized Th5Ga2Bi structure. Source: the Alexandria database, functional PBE.

Cell lengths 8.0717, 8.0717, 14.1932 Å; angles 90.00, 90.00, 90.00 degrees
Closest atoms and distances in Å follow each position.
Space group I4/mcm (No. 140)
Symmetry-distinct sites (fractional):
Th  0.0000  0.0000  0.0000 (multiplicity 4)  4 Ga 3.15
Th  0.1579  0.3421  0.1450 (multiplicity 16)  3 Ga 3.13-3.14, 2 Bi 3.39
Ga  0.1338  0.3662  0.5000 (multiplicity 8)  1 Ga 3.06, 8 Th 3.13-3.15
Bi  0.0000  0.0000  0.2500 (multiplicity 4)  10 Th 3.39-3.55

Values from the calculation:
total moment	0.0	μB/cell

---

[8]
A geometry-optimized Th3GaBi structure. Source: the Alexandria database, functional PBE.

Cell lengths 7.8222, 15.1299, 5.3995 Å; angles 90.00, 90.00, 90.00 degrees
Closest atoms and distances in Å follow each position.
Space group Cmmm (No. 65)
Symmetry-distinct sites (fractional):
Th  0.0000  0.1494  0.0000 (multiplicity 4)  2 Ga 2.83
Th  0.1835  0.5000  0.5000 (multiplicity 4)  2 Ga 2.86, 1 Th 2.87
Th  0.2500  0.2500  0.5000 (multiplicity 4)  2 Ga 3.06
Ga  0.0000  0.0941  0.5000 (multiplicity 4)  6 Th 2.83-3.06, 1 Ga 2.85
Bi  0.0000  0.3677  0.0000 (multiplicity 4)  5 Th 3.30-3.65

Values from the calculation:
total moment	0.0	μB/cell

---

Number 1: E_form -507 meV/atom. Number 2: E_form -259 meV/atom. Number 3: E_form -118 meV/atom. Number 4: E_form -397 meV/atom. Number 5: E_form -535 meV/atom. Number 6: E_form -496 meV/atom. Number 7: E_form -399 meV/atom. Number 8: E_form -29 meV/atom.